Compound: AcZnGaGe2
Source: the Alexandria database
Functional: GGA-PBE
Structure: relaxed

Computed properties:
Raw total energy = -19.59 eV/cell
Total moment = 0.00 μB per cell
Crystal system = tetragonal
E_form = -1.946 eV per formula unit

Cell lengths 4.3453, 4.3453, 6.6083 Å; angles 109.19, 109.19, 90.00 degrees
Atoms (fractional coordinates):
Ac (0.0000, 0.0000, 0.0000)
Zn (0.7500, 0.2500, 0.5000)
Ga (0.2500, 0.7500, 0.5000)
Ge (0.6191, 0.6191, 0.2382)
Ge (0.3809, 0.3809, 0.7618)